#a
A geometry-optimized GdGaAsO structure, computed with PBE-GGA.

Unit cell a=4.6487 b=6.0058 c=5.8514 alpha=90.00 beta=90.00 gamma=90.00
Space group Pmc2_1 (No. 26)
Unique sites:
Gd (0.0000, 0.2414, 0.0000)
Ga (0.5000, 0.1614, 0.6109)
As (0.0000, 0.2687, 0.5031)
O (0.5000, 0.1627, 0.9719)



#b
A geometry-optimized GdGaAsO structure, computed with PBE-GGA.

Unit cell a=4.0896 b=4.0896 c=9.0814 alpha=90.00 beta=90.00 gamma=90.00
Space group P4/nmm (No. 129, origin choice 2)
Unique sites:
Gd (0.2500, 0.2500, 0.1152)
Ga (0.2500, 0.7500, 0.5000)
As (0.2500, 0.2500, 0.6843)
O (0.2500, 0.7500, 0.0000)



#b is preferred energetically. Next in line: 183 meV/atom higher.



#a
A geometry-optimized LiGaAsIr structure, computed with PBE-GGA.

Unit cell a=6.1559 b=6.1559 c=6.1559 alpha=90.00 beta=90.00 gamma=90.00
Space group F-43m (No. 216)
Unique sites:
Li (0.0000, 0.0000, 0.0000)
Ga (0.2500, 0.2500, 0.7500)
As (0.2500, 0.2500, 0.2500)
Ir (0.0000, 0.0000, 0.5000)



#b
A geometry-optimized LiGaAsIr structure, computed with PBE-GGA.

Unit cell a=6.2256 b=6.2256 c=6.2256 alpha=90.00 beta=90.00 gamma=90.00
Space group F-43m (No. 216)
Unique sites:
Li (0.0000, 0.0000, 0.0000)
Ga (0.0000, 0.0000, 0.5000)
As (0.2500, 0.2500, 0.7500)
Ir (0.2500, 0.2500, 0.2500)



#a is preferred energetically. Next in line: 305 meV/atom higher.



#a
A geometry-optimized NaGaAsIr structure, computed with PBE-GGA.

Unit cell a=6.4883 b=6.4883 c=6.4883 alpha=90.00 beta=90.00 gamma=90.00
Space group F-43m (No. 216)
Unique sites:
Na (0.0000, 0.0000, 0.0000)
Ga (0.2500, 0.2500, 0.7500)
As (0.0000, 0.0000, 0.5000)
Ir (0.2500, 0.2500, 0.2500)



#b
A geometry-optimized NaGaAsIr structure, computed with PBE-GGA.

Unit cell a=6.4629 b=6.4629 c=6.4629 alpha=90.00 beta=90.00 gamma=90.00
Space group F-43m (No. 216)
Unique sites:
Na (0.0000, 0.0000, 0.0000)
Ga (0.0000, 0.0000, 0.5000)
As (0.2500, 0.2500, 0.7500)
Ir (0.2500, 0.2500, 0.2500)



#b is preferred energetically. Next in line: 42 meV/atom higher.